4
Lattice="3.602 0.000 0.000 0.000 3.602 0.000 0.000 0.000 10.143" Properties=species:S:1:pos:R:3 comment="CaCeDy2 PBE-GGA relaxed" vol_a3_per_cell=132 space_group=P4/mmm e_tot_ev_per_atom=-4.1918 ef_ev_per_atom=0.093 magnetic_moment_mub_per_fu=0.0 e_above_lowest_polymorph_ev_per_fu=0.02 pbc="T T T"
Ca 1.801 1.801 5.072
Ce 1.801 1.801 0.000
Dy 0.000 0.000 7.874
Dy 0.000 0.000 2.269